Record 1
A relaxed structure of TiNb2PPd, computed with PBE.

Calculated values
The value obtained for the density of states at the Fermi level is 6.05 states/eV/cell. The calculation puts the formation energy at 0.046 eV/atom. The calculation puts the total energy at -38.4 eV/f.u.

Unit cell a=4.6361 b=4.6361 c=4.3934 alpha=90.00 beta=90.00 gamma=90.00
Space group P4/mmm (No. 123)
Symmetry-distinct sites (fractional):
Ti 0.0000 0.0000 0.0000 (multiplicity 1)
Nb 0.0000 0.5000 0.5000 (multiplicity 2)
P 0.5000 0.5000 0.5000 (multiplicity 1)
Pd 0.5000 0.5000 0.0000 (multiplicity 1)

---

Record 2
A relaxed structure of Rb2Pa2I2O5, computed with PBE.

Calculated values
The value obtained for the density of states at the Fermi level is 0.00 states/eV/cell. The calculation puts the total energy at -77.7 eV/f.u. The calculation puts the formation energy (no corrections) at -2625 meV/atom.

Unit cell a=4.3931 b=4.3931 c=29.3027 alpha=90.00 beta=90.00 gamma=90.00
Space group I4/mmm (No. 139)
Symmetry-distinct sites (fractional):
Rb 0.0000 0.0000 0.1491 (multiplicity 4)
Pa 0.0000 0.0000 0.4283 (multiplicity 4)
I 0.0000 0.0000 0.3097 (multiplicity 4)
O 0.0000 0.0000 0.5000 (multiplicity 2)
O 0.0000 0.5000 0.0790 (multiplicity 8)